VASP calculation (PBE-GGA) on a geometry-optimized LaFeW2 structure.

Lattice parameters (Å, degrees): 3.157 4.533 5.141 90.00 90.00 90.00
Atoms (fractional coordinates):
W: 0.500 0.500 0.000
W: 0.000 0.000 0.000
Fe: 0.500 0.000 0.500
La: 0.000 0.500 0.500

Calculated values
- DFT total energy (eV/atom) = -9.0700
- excess energy over the best structure of this formula in the dataset (meV per atom) = 253.8
- magnetization (μB/cell) = 1.970
- formation enthalpy at 0 K (eV/atom) = 0.754


VASP calculation (PBE-GGA) on a geometry-optimized AcNd5Tl3 structure.

Lattice parameters (Å, degrees): 7.068 9.745 9.745 120.00 90.00 90.00
Atoms (fractional coordinates):
Nd: 0.250 0.664 0.000
Nd: 0.000 0.667 0.334
Nd: 0.250 0.000 0.664
Nd: 0.500 0.667 0.334
Nd: 0.250 0.336 0.336
Nd: 0.500 0.333 0.666
Nd: 0.000 0.333 0.666
Nd: 0.750 0.664 0.664
Nd: 0.750 0.000 0.336
Nd: 0.750 0.336 0.000
Ac: 0.000 0.000 0.000
Ac: 0.500 0.000 0.000
Tl: 0.750 0.663 0.000
Tl: 0.250 0.337 0.000
Tl: 0.750 0.000 0.663
Tl: 0.250 0.000 0.337
Tl: 0.250 0.663 0.663
Tl: 0.750 0.337 0.337

Calculated values
- DFT total energy (eV/atom) = -4.1383
- magnetization (μB/cell) = 3.885
- formation enthalpy at 0 K (eV/atom) = -0.244


VASP calculation (PBE-GGA) on a geometry-optimized La3Pd2 structure.

Lattice parameters (Å, degrees): 3.711 3.711 10.375 100.30 100.30 90.00
Atoms (fractional coordinates):
Pd: 0.409 0.409 0.817
Pd: 0.591 0.591 0.183
La: 0.000 0.000 0.000
La: 0.177 0.177 0.354
La: 0.823 0.823 0.646

Calculated values
- DFT total energy (eV/atom) = -5.6148
- excess energy over the best structure of this formula in the dataset (meV per atom) = 74.2
- magnetization (μB/cell) = 0.000
- formation enthalpy at 0 K (eV/atom) = -0.581


VASP calculation (PBE-GGA) on a geometry-optimized Pm3Ho2In structure.

Lattice parameters (Å, degrees): 6.831 6.499 9.293 99.24 111.56 90.00
Atoms (fractional coordinates):
Pm: 0.780 0.250 0.000
Pm: 0.948 0.963 0.664
Pm: 0.284 0.537 0.336
Pm: 0.052 0.037 0.336
Pm: 0.716 0.463 0.664
Pm: 0.220 0.750 0.000
Ho: 0.445 0.931 0.678
Ho: 0.767 0.569 0.322
Ho: 0.555 0.069 0.322
Ho: 0.233 0.431 0.678
In: 0.291 0.250 0.000
In: 0.709 0.750 0.000

Calculated values
- DFT total energy (eV/atom) = -4.4606
- excess energy over the best structure of this formula in the dataset (meV per atom) = 54.2
- magnetization (μB/cell) = 0.000
- formation enthalpy at 0 K (eV/atom) = -0.103


VASP calculation (PBE-GGA) on a geometry-optimized PuRe3Si3 structure.

Lattice parameters (Å, degrees): 6.625 6.625 6.625 90.00 90.00 90.00
Atoms (fractional coordinates):
Re: 0.750 0.000 0.500
Re: 0.500 0.250 0.000
Re: 0.250 0.000 0.500
Re: 0.000 0.500 0.750
Re: 0.000 0.500 0.250
Re: 0.500 0.750 0.000
Si: 0.750 0.500 0.000
Si: 0.500 0.000 0.750
Si: 0.000 0.750 0.500
Si: 0.500 0.000 0.250
Si: 0.250 0.500 0.000
Si: 0.000 0.250 0.500
Pu: 0.000 0.000 0.000
Pu: 0.500 0.500 0.500

Calculated values
- ΔE_f (raw) (eV per atom) = 0.5261
- DFT total energy (eV/atom) = -9.1804
- excess energy over the best structure of this formula in the dataset (meV per atom) = 737.3
- magnetization (μB/cell) = 7.338


VASP calculation (PBE-GGA) on a geometry-optimized Dy5Pb4Au structure.

Lattice parameters (Å, degrees): 6.258 7.585 7.585 80.20 65.64 65.64
Atoms (fractional coordinates):
Pb: 0.380 0.389 0.801
Pb: 0.570 0.611 0.199
Pb: 0.769 0.801 0.611
Pb: 0.181 0.199 0.389
Dy: 0.074 0.612 0.198
Dy: 0.686 0.198 0.388
Dy: 0.272 0.802 0.612
Dy: 0.884 0.388 0.802
Dy: 0.602 0.000 0.000
Au: 0.093 0.000 0.000

Calculated values
- DFT total energy (eV/atom) = -4.5044
- magnetization (μB/cell) = 0.000
- formation enthalpy at 0 K (eV/atom) = -0.392


VASP calculation (PBE-GGA) on a geometry-optimized Pm3Er6TmTh2 structure.

Lattice parameters (Å, degrees): 6.160 6.160 11.720 95.03 95.03 119.97
Atoms (fractional coordinates):
Er: 0.418 0.082 0.245
Er: 0.582 0.918 0.755
Er: 0.082 0.418 0.245
Er: 0.745 0.745 0.246
Er: 0.255 0.255 0.754
Er: 0.918 0.582 0.755
Th: 0.667 0.333 0.000
Th: 0.333 0.667 0.000
Pm: 0.166 0.834 0.500
Pm: 0.500 0.500 0.500
Pm: 0.834 0.166 0.500
Tm: 0.000 0.000 0.000

Calculated values
- DFT total energy (eV/atom) = -5.0615
- magnetization (μB/cell) = 0.000
- formation enthalpy at 0 K (eV/atom) = 0.017


VASP calculation (PBE-GGA) on a geometry-optimized Ac2TbSn structure.

Lattice parameters (Å, degrees): 3.795 3.795 12.901 81.54 81.54 60.00
Atoms (fractional coordinates):
Ac: 0.088 0.088 0.736
Ac: 0.912 0.912 0.264
Tb: 0.500 0.500 0.500
Sn: 0.000 0.000 0.000

Calculated values
- DFT total energy (eV/atom) = -4.0759
- excess energy over the best structure of this formula in the dataset (meV per atom) = 459.6
- magnetization (μB/cell) = 0.000
- formation enthalpy at 0 K (eV/atom) = 0.137


VASP calculation (PBE-GGA) on a geometry-optimized Tb6TlCd3 structure.

Lattice parameters (Å, degrees): 5.310 9.379 11.693 107.26 90.00 90.00
Atoms (fractional coordinates):
Tl: 0.750 0.046 0.398
Tl: 0.250 0.954 0.602
Tb: 0.250 0.131 0.164
Tb: 0.250 0.834 0.303
Tb: 0.250 0.101 0.880
Tb: 0.750 0.346 0.325
Tb: 0.750 0.745 0.499
Tb: 0.250 0.461 0.088
Tb: 0.750 0.166 0.697
Tb: 0.250 0.654 0.675
Tb: 0.750 0.869 0.836
Tb: 0.750 0.539 0.912
Tb: 0.250 0.255 0.501
Tb: 0.750 0.899 0.120
Cd: 0.750 0.227 0.028
Cd: 0.750 0.473 0.625
Cd: 0.250 0.773 0.972
Cd: 0.750 0.613 0.214
Cd: 0.250 0.387 0.786
Cd: 0.250 0.527 0.375

Calculated values
- DFT total energy (eV/atom) = -3.5193
- magnetization (μB/cell) = 0.000
- formation enthalpy at 0 K (eV/atom) = -0.230


VASP calculation (PBE-GGA) on a geometry-optimized NbIrSe2 structure.

Lattice parameters (Å, degrees): 4.539 4.539 4.539 60.00 60.00 60.00
Atoms (fractional coordinates):
Se: 0.250 0.250 0.250
Se: 0.750 0.750 0.750
Ir: 0.500 0.500 0.500
Nb: 0.000 0.000 0.000

Calculated values
- ΔE_f (raw) (eV per atom) = 0.0317
- DFT total energy (eV/atom) = -6.4433
- excess energy over the best structure of this formula in the dataset (meV per atom) = 173.9
- magnetization (μB/cell) = 0.000


VASP calculation (PBE-GGA) on a geometry-optimized AlPbCl structure.

Lattice parameters (Å, degrees): 5.077 5.077 5.077 60.00 60.00 60.00
Atoms (fractional coordinates):
Al: 0.000 0.000 0.000
Pb: 0.750 0.750 0.750
Cl: 0.500 0.500 0.500

Calculated values
- ΔE_f (raw) (eV per atom) = 0.1760
- DFT total energy (eV/atom) = -2.9232
- excess energy over the best structure of this formula in the dataset (meV per atom) = 533.2
- magnetization (μB/cell) = 0.532


VASP calculation (PBE-GGA) on a geometry-optimized LiGe2Cl6 structure.

Lattice parameters (Å, degrees): 9.615 9.544 9.544 78.74 59.46 59.46
Atoms (fractional coordinates):
Cl: 0.486 0.069 0.172
Cl: 0.492 0.648 0.628
Cl: 0.508 0.352 0.372
Cl: 0.224 0.130 0.600
Cl: 0.014 0.828 0.931
Cl: 0.514 0.931 0.828
Cl: 0.008 0.372 0.352
Cl: 0.776 0.870 0.400
Cl: 0.724 0.600 0.130
Cl: 0.986 0.172 0.069
Cl: 0.992 0.628 0.648
Cl: 0.276 0.400 0.870
Ge: 0.287 0.277 0.376
Ge: 0.787 0.376 0.277
Ge: 0.713 0.723 0.624
Ge: 0.213 0.624 0.723
Li: 0.750 0.823 0.177
Li: 0.250 0.177 0.823

Calculated values
- ΔE_f (raw) (eV per atom) = -0.9649
- DFT total energy (eV/atom) = -3.4348
- magnetization (μB/cell) = 0.000